[1]
DFT (GGA-PBE) results for crystalline TaSn2Rh at its relaxed geometry.

Cell and atoms, written as POSCAR:
```
TaSn2Rh
1.0
-2.759 1.353 3.615
-1.741 4.411 0.133
-4.633 0.743 -0.701
Rh Sn Ta
1 2 1
Direct
0.000 0.000 0.000
0.250 0.250 0.250
0.750 0.750 0.750
0.500 0.500 0.500
```

Values from the calculation:
Energy, eV per atom: -6.690
Symmetry: Fm-3m
ΔE_f, meV/atom: 112
Spin magnetization, μB per formula unit: 0.42


[2]
DFT (GGA-PBE) results for crystalline TaSn2Rh at its relaxed geometry.

Cell and atoms, written as POSCAR:
```
TaSn2Rh
1.0
-1.166 -0.325 2.877
0.083 -2.782 1.413
8.430 1.161 5.240
Sn Rh Ta
2 1 1
Direct
0.903 0.903 0.290
0.097 0.097 0.710
0.500 0.500 0.500
0.000 0.000 0.000
```

Values from the calculation:
Energy, eV per atom: -6.590
Symmetry: R-3m
ΔE_f, meV/atom: 213
Spin magnetization, μB per formula unit: 0.00


[3]
DFT (GGA-PBE) results for crystalline TaSnRh3 at its relaxed geometry.

Cell and atoms, written as POSCAR:
```
TaSnRh3
1.0
-3.823 2.799 -0.437
-2.738 -3.461 1.780
0.730 1.682 4.391
Rh Sn Ta
3 1 1
Direct
0.500 0.000 0.000
0.000 0.000 0.500
0.000 0.500 0.000
0.500 0.500 0.500
0.000 0.000 0.000
```

Values from the calculation:
Energy above the lowest structure with this stoichiometry, meV/atom: 0
Energy, eV per atom: -6.916
Symmetry: Pm-3m
ΔE_f, meV/atom: 666
Spin magnetization, μB per formula unit: 0.00


Question: Which value of ΔE_f does entry 2 give?
Answer: 213 meV/atom